Entry 1:
Entry from Alexandria: Sr2LiSi3Pd12 after structural relaxation (PBE).

Output
Mass density   8.12 g/cm3
ΔE_f (raw)   -384 meV per atom
SG   R-3m, No. 166
Volume   17.53 Å³ per atom

Lattice parameters (Å, degrees): 6.8468 6.8468 6.8468 83.68 83.68 83.68
Closest atoms and distances in Å follow each position.
Fractional positions:
Sr1 0.6239 0.6239 0.6239  3 Pd 2.72
Sr2 0.3761 0.3761 0.3761  3 Pd 2.72
Li1 0.0000 0.0000 0.0000  6 Pd 2.59
Si1 0.5000 0.0000 0.0000  6 Pd 2.33-2.57
Si2 0.0000 0.5000 0.0000  6 Pd 2.33-2.57
Si3 0.0000 0.0000 0.5000  6 Pd 2.33-2.57
Pd1 0.3633 0.3633 0.9279  2 Si 2.57, 1 Pd 2.72
Pd2 0.8250 0.8250 0.3159  1 Si 2.33, 1 Li 2.59, 2 Pd 2.61
Pd3 0.3159 0.8250 0.8250  1 Si 2.33, 1 Li 2.59, 2 Pd 2.61
Pd4 0.9279 0.3633 0.3633  2 Si 2.57, 1 Pd 2.72
Pd5 0.8250 0.3159 0.8250  1 Si 2.33, 1 Li 2.59, 2 Pd 2.61
Pd6 0.3633 0.9279 0.3633  2 Si 2.57, 1 Pd 2.72
Pd7 0.6367 0.6367 0.0721  2 Si 2.57, 1 Pd 2.72
Pd8 0.1750 0.1750 0.6841  1 Si 2.33, 1 Li 2.59, 2 Pd 2.61
Pd9 0.6841 0.1750 0.1750  1 Si 2.33, 1 Li 2.59, 2 Pd 2.61
Pd10 0.0721 0.6367 0.6367  2 Si 2.57, 1 Pd 2.72
Pd11 0.1750 0.6841 0.1750  1 Si 2.33, 1 Li 2.59, 2 Pd 2.61
Pd12 0.6367 0.0721 0.6367  2 Si 2.57, 1 Pd 2.72



Entry 2:
Entry from Alexandria: LiTb2Si3Pd4 after structural relaxation (PBE).

Output
Mass density   7.97 g/cm3
ΔE_f (raw)   -868 meV per atom
SG   P-4m2, No. 115
Volume   17.39 Å³ per atom

Lattice parameters (Å, degrees): 4.1733 4.1733 9.9832 90.00 90.00 90.00
Closest atoms and distances in Å follow each position.
Fractional positions:
Li1 0.5000 0.5000 0.5000  4 Pd 2.44
Tb1 0.5000 0.0000 0.2506  6 Si 3.17-3.25, 8 Pd 3.19-3.26, 2 Li 3.25
Tb2 0.0000 0.5000 0.7494  6 Si 3.17-3.25, 8 Pd 3.19-3.26, 2 Li 3.25
Si1 0.0000 0.0000 0.5000  4 Pd 2.44
Si2 0.5000 0.0000 0.8650  5 Pd 2.37-2.48
Si3 0.0000 0.5000 0.1350  5 Pd 2.37-2.48
Pd1 0.5000 0.5000 0.0000  4 Si 2.48
Pd2 0.0000 0.0000 0.0000  4 Si 2.48
Pd3 0.5000 0.0000 0.6275  3 Si 2.37-2.44, 2 Li 2.44
Pd4 0.0000 0.5000 0.3725  3 Si 2.37-2.44, 2 Li 2.44



Entry 3:
Entry from Alexandria: Li2Tb2Si4Pd after structural relaxation (PBE).

Output
Mass density   5.93 g/cm3
ΔE_f (raw)   -563 meV per atom
SG   I4/mmm, No. 139
Volume   17.12 Å³ per atom

Lattice parameters (Å, degrees): 6.0418 6.0418 6.0418 88.64 120.79 120.79
Closest atoms and distances in Å follow each position.
Fractional positions:
Li1 0.0000 0.7156 0.7156  1 Pd 2.46, 4 Si 2.57
Li2 0.0000 0.2844 0.2844  1 Pd 2.46, 4 Si 2.57
Tb1 0.5000 0.7500 0.2500  4 Li 3.00, 8 Si 3.04
Tb2 0.5000 0.2500 0.7500  4 Li 3.00, 8 Si 3.04
Si1 0.0000 0.7097 0.2903  1 Pd 2.45, 2 Si 2.50, 2 Li 2.57
Si2 0.4194 0.7097 0.7097  1 Pd 2.45, 2 Si 2.50, 2 Li 2.57
Si3 0.0000 0.2903 0.7097  1 Pd 2.45, 2 Si 2.50, 2 Li 2.57
Si4 0.5806 0.2903 0.2903  1 Pd 2.45, 2 Si 2.50, 2 Li 2.57
Pd1 0.0000 0.0000 0.0000  4 Si 2.45, 2 Li 2.46



Entry 4:
Entry from Alexandria: LiTbSiPd after structural relaxation (PBE).

Output
Mass density   7.36 g/cm3
ΔE_f (raw)   -682 meV per atom
SG   F-43m, No. 216
Volume   16.95 Å³ per atom

Lattice parameters (Å, degrees): 4.5766 4.5766 4.5766 60.00 60.00 60.00
Closest atoms and distances in Å follow each position.
Fractional positions:
Si1 0.7500 0.7500 0.7500  4 Li 2.80, 4 Pd 2.80
Tb1 0.2500 0.2500 0.2500  4 Li 2.80, 4 Pd 2.80
Pd1 0.0000 0.0000 0.0000  4 Tb 2.80, 4 Si 2.80
Li1 0.5000 0.5000 0.5000  4 Tb 2.80, 4 Si 2.80



Entry 5:
Entry from Alexandria: LiTh3Si6Pd2 after structural relaxation (PBE).

Output
Mass density   7.45 g/cm3
ΔE_f (raw)   -464 meV per atom
SG   P-3m1, No. 164
Volume   20.15 Å³ per atom

Lattice parameters (Å, degrees): 5.9381 5.9381 7.9180 90.00 90.00 120.00
Closest atoms and distances in Å follow each position.
Fractional positions:
Li1 0.0000 0.0000 0.5000  6 Si 2.58
Th1 0.3333 0.6667 0.6407  9 Si 3.03-3.08, 1 Pd 3.13
Th2 0.6667 0.3333 0.3593  9 Si 3.03-3.08, 1 Pd 3.13
Th3 0.0000 0.0000 0.0000  6 Si 3.08, 6 Pd 3.44
Si1 0.6104 0.8052 0.2955  2 Si 2.47, 1 Pd 2.50, 1 Li 2.58
Si2 0.1948 0.3896 0.2955  2 Si 2.47, 1 Pd 2.50, 1 Li 2.58
Si3 0.1948 0.8052 0.2955  2 Si 2.47, 1 Pd 2.50, 1 Li 2.58
Si4 0.8052 0.6104 0.7045  2 Si 2.47, 1 Pd 2.50, 1 Li 2.58
Si5 0.3896 0.1948 0.7045  2 Si 2.47, 1 Pd 2.50, 1 Li 2.58
Si6 0.8052 0.1948 0.7045  2 Si 2.47, 1 Pd 2.50, 1 Li 2.58
Pd1 0.6667 0.3333 0.9645  3 Si 2.50
Pd2 0.3333 0.6667 0.0355  3 Si 2.50



Entry 6:
Entry from Alexandria: LiThSi2Pd after structural relaxation (PBE).

Output
Mass density   7.50 g/cm3
ΔE_f (raw)   -795 meV per atom
SG   I-4m2, No. 119
Volume   17.79 Å³ per atom

Lattice parameters (Å, degrees): 4.1284 4.1284 5.9794 110.20 110.20 90.00
Closest atoms and distances in Å follow each position.
Fractional positions:
Li1 0.2500 0.7500 0.5000  4 Si 2.50
Th1 0.0000 0.0000 0.0000  8 Si 3.15, 4 Pd 3.33, 4 Li 3.33
Si1 0.6140 0.6140 0.2281  1 Si 2.38, 2 Pd 2.50, 2 Li 2.50
Si2 0.3860 0.3860 0.7719  1 Si 2.38, 2 Li 2.50, 2 Pd 2.50
Pd1 0.7500 0.2500 0.5000  4 Si 2.50



Entry 7:
Entry from Alexandria: LiTh2Si4Pd3 after structural relaxation (PBE).

Output
Mass density   8.29 g/cm3
ΔE_f (raw)   -805 meV per atom
SG   P-4m2, No. 115
Volume   18.07 Å³ per atom

Lattice parameters (Å, degrees): 4.2522 4.2522 9.9959 90.00 90.00 90.00
Closest atoms and distances in Å follow each position.
Fractional positions:
Li1 0.5000 0.5000 0.5000  4 Si 2.52
Th1 0.5000 0.0000 0.2498  8 Si 3.22-3.28, 6 Pd 3.28, 2 Li 3.28
Th2 0.0000 0.5000 0.7502  8 Si 3.22-3.28, 6 Pd 3.28, 2 Li 3.28
Si1 0.5000 0.5000 0.0000  4 Pd 2.44
Si2 0.0000 0.0000 0.0000  4 Pd 2.44
Si3 0.5000 0.0000 0.6350  3 Pd 2.46-2.52, 2 Li 2.52
Si4 0.0000 0.5000 0.3650  3 Pd 2.46-2.52, 2 Li 2.52
Pd1 0.0000 0.0000 0.5000  4 Si 2.52
Pd2 0.5000 0.0000 0.8812  5 Si 2.44-2.46
Pd3 0.0000 0.5000 0.1188  5 Si 2.44-2.46



Entry 8:
Entry from Alexandria: LiTh2Si3Pd4 after structural relaxation (PBE).

Output
Mass density   9.03 g/cm3
ΔE_f (raw)   -868 meV per atom
SG   P-4m2, No. 115
Volume   18.04 Å³ per atom

Lattice parameters (Å, degrees): 4.2639 4.2639 9.9247 90.00 90.00 90.00
Closest atoms and distances in Å follow each position.
Fractional positions:
Li1 0.5000 0.5000 0.5000  4 Pd 2.46
Th1 0.5000 0.0000 0.2475  6 Si 3.22-3.29, 8 Pd 3.25-3.28, 2 Li 3.29
Th2 0.0000 0.5000 0.7525  6 Si 3.22-3.29, 8 Pd 3.25-3.28, 2 Li 3.29
Si1 0.0000 0.0000 0.5000  4 Pd 2.46
Si2 0.5000 0.0000 0.8665  5 Pd 2.41-2.51
Si3 0.0000 0.5000 0.1335  5 Pd 2.41-2.51
Pd1 0.5000 0.5000 0.0000  4 Si 2.51
Pd2 0.0000 0.0000 0.0000  4 Si 2.51
Pd3 0.5000 0.0000 0.6233  3 Si 2.41-2.46, 2 Li 2.46
Pd4 0.0000 0.5000 0.3767  3 Si 2.41-2.46, 2 Li 2.46



Entry 9:
Entry from Alexandria: LiTi2SiPd after structural relaxation (PBE).

Output
Mass density   5.14 g/cm3
ΔE_f (raw)   422 meV per atom
SG   P4/mmm, No. 123
Volume   15.33 Å³ per atom

Lattice parameters (Å, degrees): 4.3257 4.0967 4.3257 90.00 90.00 90.00
Closest atoms and distances in Å follow each position.
Fractional positions:
Si1 0.0000 0.5000 0.0000  2 Li 2.05
Li1 0.0000 0.0000 0.0000  2 Si 2.05, 4 Ti 2.16
Pd1 0.5000 0.5000 0.5000  8 Ti 2.98, 4 Si 3.06
Ti1 0.0000 0.0000 0.5000  2 Li 2.16
Ti2 0.5000 0.0000 0.0000  2 Li 2.16



Entry 10:
Entry from Alexandria: LiTiSiPd after structural relaxation (PBE).

Output
Mass density   5.46 g/cm3
ΔE_f (raw)   -502 meV per atom
SG   F-43m, No. 216
Volume   14.38 Å³ per atom

Lattice parameters (Å, degrees): 4.3331 4.3331 4.3331 60.00 60.00 60.00
Closest atoms and distances in Å follow each position.
Fractional positions:
Si1 0.5000 0.5000 0.5000  4 Li 2.65, 4 Ti 2.65
Li1 0.7500 0.7500 0.7500  4 Si 2.65, 4 Pd 2.65
Pd1 0.0000 0.0000 0.0000  4 Ti 2.65, 4 Li 2.65
Ti1 0.2500 0.2500 0.2500  4 Pd 2.65, 4 Si 2.65



Entry 11:
Entry from Alexandria: Li2Tm2Si4Pd after structural relaxation (PBE).

Output
Mass density   6.32 g/cm3
ΔE_f (raw)   -523 meV per atom
SG   I4/mmm, No. 139
Volume   16.67 Å³ per atom

Lattice parameters (Å, degrees): 5.9780 5.9780 5.9780 89.20 120.46 120.46
Closest atoms and distances in Å follow each position.
Fractional positions:
Li1 0.0000 0.7158 0.7158  1 Pd 2.42, 4 Si 2.55
Li2 0.0000 0.2842 0.2842  1 Pd 2.42, 4 Si 2.55
Tm1 0.5000 0.7500 0.2500  4 Li 2.98, 8 Si 3.01
Tm2 0.5000 0.2500 0.7500  4 Li 2.98, 8 Si 3.01
Si1 0.0000 0.7103 0.2897  1 Pd 2.43, 2 Si 2.50, 2 Li 2.55
Si2 0.4206 0.7103 0.7103  1 Pd 2.43, 2 Si 2.50, 2 Li 2.55
Si3 0.0000 0.2897 0.7103  1 Pd 2.43, 2 Si 2.50, 2 Li 2.55
Si4 0.5794 0.2897 0.2897  1 Pd 2.43, 2 Si 2.50, 2 Li 2.55
Pd1 0.0000 0.0000 0.0000  2 Li 2.42, 4 Si 2.43



Entry 12:
Entry from Alexandria: Li2Y2Si4Pd after structural relaxation (PBE).

Output
Mass density   4.44 g/cm3
ΔE_f (raw)   -563 meV per atom
SG   I4/mmm, No. 139
Volume   17.08 Å³ per atom

Lattice parameters (Å, degrees): 6.0367 6.0367 6.0367 88.66 120.78 120.78
Closest atoms and distances in Å follow each position.
Fractional positions:
Li1 0.0000 0.7155 0.7155  1 Pd 2.46, 4 Si 2.57
Li2 0.0000 0.2845 0.2845  1 Pd 2.46, 4 Si 2.57
Y1 0.5000 0.7500 0.2500  4 Li 3.00, 8 Si 3.04
Y2 0.5000 0.2500 0.7500  4 Li 3.00, 8 Si 3.04
Si1 0.0000 0.7097 0.2903  1 Pd 2.45, 2 Si 2.50, 2 Li 2.57
Si2 0.4193 0.7097 0.7097  1 Pd 2.45, 2 Si 2.50, 2 Li 2.57
Si3 0.0000 0.2903 0.7097  1 Pd 2.45, 2 Si 2.50, 2 Li 2.57
Si4 0.5807 0.2903 0.2903  1 Pd 2.45, 2 Si 2.50, 2 Li 2.57
Pd1 0.0000 0.0000 0.0000  4 Si 2.45, 2 Li 2.46